VASP calculation (PBE) on a geometry-optimized PW2 structure.

Computed properties:
SG: Fd-3m, No. 227
Raw total energy (eV/atom): -9.4066
Crystal system: cubic

abc: 5.250 5.250 5.250
angles: 60.00 60.00 60.00
Element x y z (fractional)
P 0.125 0.125 0.125
P 0.875 0.875 0.875
W 0.000 0.500 0.500
W 0.500 0.000 0.500
W 0.500 0.500 0.000
W 0.500 0.500 0.500

VASP calculation (PBE) on a geometry-optimized CsHf5 structure.

Computed properties:
SG: P-62m, No. 189
Raw total energy (eV/atom): -7.6613
Crystal system: hexagonal

abc: 5.664 5.664 5.324
angles: 90.00 90.00 120.00
Element x y z (fractional)
Cs 0.000 0.000 0.000
Hf 0.000 0.630 0.500
Hf 0.333 0.667 0.000
Hf 0.370 0.370 0.500
Hf 0.630 0.000 0.500
Hf 0.667 0.333 0.000

VASP calculation (PBE) on a geometry-optimized HoErSn2 structure.

Computed properties:
SG: Amm2, No. 38
Raw total energy (eV/atom): -4.1898
Crystal system: orthorhombic

abc: 3.324 6.864 6.864
angles: 53.47 90.00 90.00
Element x y z (fractional)
Ho 0.000 0.000 0.000
Er 0.000 0.720 0.720
Sn 0.000 0.245 0.245
Sn 0.000 0.476 0.476